1.
A plane-wave DFT calculation with PBE was carried out for a relaxed Cs3MgBr crystal.

Cell: 7.062 7.062 7.062 Å, 90.00 90.00 90.00°
Space group Pm-3m (No. 221)
Inequivalent atoms, fractional coordinates:
Cs (0.000, 0.000, 0.500) (multiplicity 3)
Mg (0.500, 0.500, 0.500) (multiplicity 1)
Br (0.000, 0.000, 0.000) (multiplicity 1)

ΔE to the lowest computed polymorph in meV/atom: 0
Size of the total moment in μB/atom: 0.000
Raw formation energy in eV/atom: -0.497

2.
A plane-wave DFT calculation with PBE was carried out for a relaxed Cs2Mg2Br5 crystal.

Cell: 15.459 5.723 8.654 Å, 90.00 108.51 90.00°
Space group C2/m (No. 12)
Inequivalent atoms, fractional coordinates:
Cs (0.099, 0.000, 0.314) (multiplicity 4)
Mg (0.156, 0.500, 0.898) (multiplicity 4)
Br (0.000, 0.500, 0.000) (multiplicity 2)
Br (0.149, 0.500, 0.596) (multiplicity 4)
Br (0.161, 0.000, 0.933) (multiplicity 4)

Size of the total moment in μB/atom: 0.000
Raw formation energy in eV/atom: -1.395

3.
A plane-wave DFT calculation with PBE was carried out for a relaxed Cs2MgBr3 crystal.

Cell: 4.973 5.589 18.644 Å, 90.00 90.00 90.00°
Space group Immm (No. 71)
Inequivalent atoms, fractional coordinates:
Cs (0.000, 0.000, 0.147) (multiplicity 4)
Mg (0.000, 0.000, 0.500) (multiplicity 2)
Br (0.000, 0.000, 0.348) (multiplicity 4)
Br (0.000, 0.500, 0.500) (multiplicity 2)

Size of the total moment in μB/atom: 0.067
Raw formation energy in eV/atom: -1.371

Summary of mass density in g cm⁻³
2.37 3.27 3.40
(order as listed above)